9
Lattice="-4.967 4.967 1.703 4.967 -4.967 1.703 4.967 4.967 -1.703" Properties=species:S:1:pos:R:3 comment="Ta8Sn (GGA-PBE, optimized geometry)" dft_energy_ha_per_atom=-0.4036 sg="I4/mmm, No. 139" mass_density_g_cm3=15.5 dos_ef_per_ev_cell=9.1 ef_ev_per_atom=-0.003 pbc="T T T"
Ta 3.322 0.000 0.000
Ta 6.613 0.000 0.000
Ta 3.267 3.267 0.000
Ta 1.700 -1.700 1.703
Ta 0.000 3.322 0.000
Ta 0.000 6.613 0.000
Ta -1.700 1.700 1.703
Ta 1.700 1.700 1.703
Sn 0.000 0.000 0.000

4
Lattice="0.000 3.850 3.850 3.850 0.000 3.850 3.850 3.850 0.000" Properties=species:S:1:pos:R:3 comment="CaScBi2 (GGA-PBE, optimized geometry)" dft_energy_ha_per_atom=-0.1668 sg="Fm-3m, No. 225" mass_density_g_cm3=7.3 polymorph_energy_mev_per_atom=135 dos_ef_per_ev_cell=3.7 ef_ev_per_atom=-0.516 pbc="T T T"
Ca 0.000 0.000 0.000
Sc 3.850 3.850 3.850
Bi 1.925 1.925 1.925
Bi 5.775 5.775 5.775

5
Lattice="4.849 0.000 0.000 0.000 4.849 0.000 0.000 0.000 4.177" Properties=species:S:1:pos:R:3 comment="ZrZn2CdB (GGA-PBE, optimized geometry)" dft_energy_ha_per_atom=-0.0980 sg="P4/mmm, No. 123" mass_density_g_cm3=5.8 dos_ef_per_ev_cell=2.3 ef_ev_per_atom=1.071 pbc="T T T"
Zr 0.000 0.000 0.000
Zn 0.000 2.425 2.088
Zn 2.425 0.000 2.088
Cd 2.425 2.425 2.088
B 2.425 2.425 0.000